Here is MnPO2 after structural relaxation from Alexandria via LeMat-Bulk. Energies are from PBE+U.

Lattice parameters (Å, degrees): 4.353 4.353 6.485 70.39 70.39 90.00
Each line ends with the local moment (μB).
Atoms (fractional coordinates):
P: 0.500 0.500 0.000  -0.01
P: 0.250 0.750 0.500  -0.01
Mn: 0.000 0.000 0.000  4.58
Mn: 0.750 0.250 0.500  4.58
O: 0.603 0.125 0.250  0.04
O: 0.147 0.625 0.250  0.04
O: 0.375 0.397 0.750  0.04
O: 0.875 0.853 0.750  0.04

The density of states at the Fermi level is 1.760 states/eV/cell. The total energy comes out at -6.339 eV per atom. For the total magnetic moment, the calculation gives 9.8 μB/cell.